Entry 1:
DFT (GGA-PBEsol) results for a relaxed structure of CaY2.

- formation energy from the elements (eV/f.u.) = 0.267
- offset from the most stable computed form (meV/atom) = 19
- space-group type = No. 12
- Fermi-level density of states (states/eV per cell) = 21.62

extended XYZ file:
```
12
Lattice="13.3789 0.0000 0.0000 0.0000 3.6188 0.0000 -2.0425 0.0000 8.2279" Properties=species:S:1:pos:R:3 pbc="T T T"
Ca -0.2446 0.0000 2.4725
Ca 4.8916 1.8094 5.7554
Ca 6.4449 1.8094 2.4725
Ca 11.5811 0.0000 5.7554
Y 1.9265 1.8094 0.2256
Y 1.3800 1.8094 5.2753
Y 3.2670 0.0000 2.9526
Y 2.7205 0.0000 8.0023
Y 8.6160 0.0000 0.2256
Y 8.0695 0.0000 5.2753
Y 9.9565 1.8094 2.9526
Y 9.4099 1.8094 8.0023
```

Entry 2:
DFT (GGA-PBEsol) results for a relaxed structure of KIrAu2.

- formation energy from the elements (eV/f.u.) = 1.599
- offset from the most stable computed form (meV/atom) = 0
- space-group type = No. 123
- Fermi-level density of states (states/eV per cell) = 3.60

extended XYZ file:
```
4
Lattice="2.8199 0.0000 0.0000 0.0000 2.8199 0.0000 0.0000 0.0000 9.3383" Properties=species:S:1:pos:R:3 pbc="T T T"
K 0.0000 0.0000 0.0000
Ir 0.0000 0.0000 4.6692
Au 1.4100 1.4100 2.6789
Au 1.4100 1.4100 6.6595
```

Entry 3:
DFT (GGA-PBEsol) results for a relaxed structure of TiFeAs.

- formation energy from the elements (eV/f.u.) = -2.281
- space-group type = No. 189
- Fermi-level density of states (states/eV per cell) = 7.94

extended XYZ file:
```
9
Lattice="6.0837 0.0000 0.0000 -3.0418 5.2686 0.0000 0.0000 0.0000 3.6731" Properties=species:S:1:pos:R:3 pbc="T T T"
Ti -1.2835 2.2230 0.0000
Ti 2.5669 0.0000 0.0000
Ti 1.7584 3.0456 0.0000
Fe -2.3078 3.9972 1.8366
Fe 0.7341 1.2714 1.8366
Fe 4.6155 0.0000 1.8366
As 0.0000 0.0000 0.0000
As 0.0000 3.5124 1.8366
As 3.0418 1.7562 1.8366
```

Entry 4:
DFT (GGA-PBEsol) results for a relaxed structure of Ca3TeOs.

- space-group type = No. 221
- Fermi-level density of states (states/eV per cell) = 1.56
- formation energy (no corrections) (meV per atom) = -72

extended XYZ file:
```
5
Lattice="5.3173 0.0000 0.0000 0.0000 5.3173 0.0000 0.0000 0.0000 5.3173" Properties=species:S:1:pos:R:3 pbc="T T T"
Ca 0.0000 0.0000 2.6587
Ca 0.0000 2.6587 0.0000
Ca 2.6587 0.0000 0.0000
Te 2.6587 2.6587 2.6587
Os 0.0000 0.0000 0.0000
```

Entry 5:
DFT (GGA-PBEsol) results for a relaxed structure of FeNiBiW2.

- formation energy from the elements (eV/f.u.) = 9.364
- space-group type = No. 123
- Fermi-level density of states (states/eV per cell) = 7.09

extended XYZ file:
```
5
Lattice="4.4554 0.0000 0.0000 0.0000 4.4554 0.0000 0.0000 0.0000 4.8744" Properties=species:S:1:pos:R:3 pbc="T T T"
Fe 0.0000 0.0000 0.0000
Ni 2.2277 2.2277 2.4372
Bi 2.2277 2.2277 0.0000
W 0.0000 2.2277 2.4372
W 2.2277 0.0000 2.4372
```

Entry 6:
DFT (GGA-PBEsol) results for a relaxed structure of BIrPd.

- formation energy from the elements (eV/f.u.) = -0.874
- space-group type = No. 43
- Fermi-level density of states (states/eV per cell) = 5.12

extended XYZ file:
```
12
Lattice="0.0000 5.0621 3.3105 4.3668 0.0000 3.3105 4.3668 5.0621 0.0000" Properties=species:S:1:pos:R:3 pbc="T T T"
B 4.8717 2.7049 3.3105
B 6.0453 5.2359 4.9657
B 3.8619 7.4192 3.3105
B 2.6883 4.8882 4.9657
Ir 6.6883 3.8700 3.4586
Ir 4.5049 3.7231 5.1138
Ir 2.0453 6.2541 3.4586
Ir 4.2287 6.4010 5.1138
Pd 7.9945 6.2323 4.5371
Pd 5.8111 6.4229 2.8818
Pd 2.9225 3.7012 2.8818
Pd 5.1059 8.9539 4.5371
```

Entry 7:
DFT (GGA-PBEsol) results for a relaxed structure of CaAu.

- formation energy from the elements (eV/f.u.) = -1.314
- space-group type = No. 194
- Fermi-level density of states (states/eV per cell) = 1.43

extended XYZ file:
```
4
Lattice="4.4883 0.0000 0.0000 -2.2442 3.8870 0.0000 0.0000 0.0000 5.9987" Properties=species:S:1:pos:R:3 pbc="T T T"
Ca 0.0000 2.5913 1.4997
Ca 2.2442 1.2957 4.4990
Au 0.0000 0.0000 0.0000
Au 0.0000 0.0000 2.9993
```

Entry 8:
DFT (GGA-PBEsol) results for a relaxed structure of HgBiB2.

- formation energy from the elements (eV/f.u.) = 6.421
- offset from the most stable computed form (meV/atom) = 452
- space-group type = No. 225
- Fermi-level density of states (states/eV per cell) = 5.81

extended XYZ file:
```
16
Lattice="6.4744 0.0000 0.0000 0.0000 6.4744 0.0000 0.0000 0.0000 6.4744" Properties=species:S:1:pos:R:3 pbc="T T T"
Hg 0.0000 0.0000 0.0000
Hg 0.0000 3.2372 3.2372
Hg 3.2372 0.0000 3.2372
Hg 3.2372 3.2372 0.0000
Bi 0.0000 0.0000 3.2372
Bi 0.0000 3.2372 0.0000
Bi 3.2372 0.0000 0.0000
Bi 3.2372 3.2372 3.2372
B 1.6186 1.6186 1.6186
B 1.6186 1.6186 4.8558
B 1.6186 4.8558 1.6186
B 1.6186 4.8558 4.8558
B 4.8558 1.6186 1.6186
B 4.8558 1.6186 4.8558
B 4.8558 4.8558 1.6186
B 4.8558 4.8558 4.8558
```

Entry 9:
DFT (GGA-PBEsol) results for a relaxed structure of Zr2CdCl.

- offset from the most stable computed form (meV/atom) = 100
- space-group type = No. 12
- Fermi-level density of states (states/eV per cell) = 6.73
- formation energy (no corrections) (meV per atom) = -300

extended XYZ file:
```
8
Lattice="11.2864 0.0000 0.0000 0.0000 3.0185 0.0000 -2.7362 0.0000 4.8490" Properties=species:S:1:pos:R:3 pbc="T T T"
Zr 1.8783 0.0000 1.0716
Zr 1.0287 1.5093 3.7774
Zr 7.5215 1.5093 1.0716
Zr 6.6719 0.0000 3.7774
Cd -1.3681 0.0000 2.4245
Cd 4.2751 1.5093 2.4245
Cl 0.0000 1.5093 0.0000
Cl 5.6432 0.0000 0.0000
```

Entry 10:
DFT (GGA-PBEsol) results for a relaxed structure of SmDyZn2.

- formation energy from the elements (eV/f.u.) = -1.298
- space-group type = No. 225
- Fermi-level density of states (states/eV per cell) = 17.43

extended XYZ file:
```
16
Lattice="7.0639 0.0000 0.0000 0.0000 7.0639 0.0000 0.0000 0.0000 7.0639" Properties=species:S:1:pos:R:3 pbc="T T T"
Sm 0.0000 0.0000 0.0000
Sm 0.0000 3.5319 3.5319
Sm 3.5319 0.0000 3.5319
Sm 3.5319 3.5319 0.0000
Dy 0.0000 0.0000 3.5319
Dy 0.0000 3.5319 0.0000
Dy 3.5319 0.0000 0.0000
Dy 3.5319 3.5319 3.5319
Zn 1.7660 1.7660 1.7660
Zn 1.7660 1.7660 5.2979
Zn 1.7660 5.2979 1.7660
Zn 1.7660 5.2979 5.2979
Zn 5.2979 1.7660 1.7660
Zn 5.2979 1.7660 5.2979
Zn 5.2979 5.2979 1.7660
Zn 5.2979 5.2979 5.2979
```

Entry 11:
DFT (GGA-PBEsol) results for a relaxed structure of BeIn2Ru.

- formation energy from the elements (eV/f.u.) = 0.869
- space-group type = No. 139
- Fermi-level density of states (states/eV per cell) = 4.10

extended XYZ file:
```
8
Lattice="3.9834 0.0000 0.0000 0.0000 3.9834 0.0000 0.0000 0.0000 7.9905" Properties=species:S:1:pos:R:3 pbc="T T T"
Be 0.0000 0.0000 0.0000
Be 1.9917 1.9917 3.9953
In 0.0000 1.9917 1.9976
In 0.0000 1.9917 5.9929
In 1.9917 0.0000 1.9976
In 1.9917 0.0000 5.9929
Ru 0.0000 0.0000 3.9953
Ru 1.9917 1.9917 0.0000
```

Entry 12:
DFT (GGA-PBEsol) results for a relaxed structure of MoHS2N.

- space-group type = No. 123
- Fermi-level density of states (states/eV per cell) = 2.75
- E (eV per atom) = -5.41

extended XYZ file:
```
5
Lattice="3.3222 0.0000 0.0000 0.0000 3.3222 0.0000 0.0000 0.0000 4.6447" Properties=species:S:1:pos:R:3 pbc="T T T"
Mo 0.0000 0.0000 0.0000
H 1.6611 1.6611 2.3224
S 0.0000 1.6611 2.3224
S 1.6611 0.0000 2.3224
N 1.6611 1.6611 0.0000
```